1.
4
Lattice="2.770 0.000 0.000 0.000 3.594 0.000 -0.252 0.000 7.607" Properties=species:S:1:pos:R:3 comment="PBE KMnCr2, relaxed" e_above_lowest_polymorph_ev_per_atom=0.101 e_tot_ev_per_atom=-6.51 spacegroup=Pm e_form_ev_per_atom=0.867 pbc="T T T"
K 0.000 0.000 0.000
Mn 2.527 1.797 2.783
Cr 1.153 0.000 3.718
Cr 2.529 1.797 4.761

---

2.
10
Lattice="-3.826 3.826 6.492 3.826 -3.826 6.492 3.826 3.826 -6.492" Properties=species:S:1:pos:R:3 comment="PBE Rb2GaHI6, relaxed" e_tot_ev_per_atom=-2.29 spacegroup=I4/mmm pbc="T T T"
Rb 3.826 0.000 3.246
Rb 0.000 3.826 3.246
Ga 0.000 0.000 0.000
H 0.000 0.000 6.492
I 0.000 0.000 2.870
I 2.006 2.006 0.000
I 1.820 -1.820 6.492
I -1.820 1.820 6.492
I 1.820 1.820 6.492
I 0.000 0.000 10.114

---

3.
8
Lattice="3.210 -4.318 0.000 3.210 4.318 0.000 -3.147 0.000 6.127" Properties=species:S:1:pos:R:3 comment="PBE Hf6InMo, relaxed" e_above_lowest_polymorph_ev_per_atom=0.029 e_tot_ev_per_atom=-9.12 spacegroup=C2/m e_form_ev_per_atom=0.038 pbc="T T T"
Hf 0.071 2.181 4.566
Hf -1.532 0.000 6.032
Hf 3.202 2.181 1.561
Hf 0.071 -2.181 4.566
Hf 4.805 0.000 0.095
Hf 3.202 -2.181 1.561
In 1.637 0.000 3.063
Mo -1.573 0.000 3.063

---

4.
8
Lattice="4.279 0.000 0.000 0.000 4.279 0.000 0.000 0.000 8.950" Properties=species:S:1:pos:R:3 comment="PBE PmGa4Au3, relaxed" e_tot_ev_per_atom=-3.80 spacegroup=P4/mmm e_form_ev_per_atom=-0.467 pbc="T T T"
Pm 0.000 0.000 0.000
Ga 0.000 2.140 2.894
Ga 0.000 2.140 6.056
Ga 2.140 0.000 2.894
Ga 2.140 0.000 6.056
Au 0.000 0.000 4.475
Au 2.140 2.140 1.356
Au 2.140 2.140 7.594

---

5.
4
Lattice="0.000 3.363 3.363 3.363 0.000 3.363 3.363 3.363 0.000" Properties=species:S:1:pos:R:3 comment="PBE SrRe2Cl, relaxed" raw_formation_energy_mev_per_atom=2189 e_above_lowest_polymorph_ev_per_atom=2.207 e_tot_ev_per_atom=-4.92 spacegroup=Fm-3m pbc="T T T"
Sr 0.000 0.000 0.000
Re 1.681 1.681 1.681
Re 5.044 5.044 5.044
Cl 3.363 3.363 3.363

---

6.
9
Lattice="5.301 0.000 0.000 0.000 5.301 0.000 0.000 0.000 11.778" Properties=species:S:1:pos:R:3 comment="PBE Ce2PrDySb5, relaxed" raw_formation_energy_mev_per_atom=-312 e_tot_ev_per_atom=-4.96 spacegroup=P4/mmm pbc="T T T"
Ce 0.000 0.000 2.522
Ce 0.000 0.000 9.256
Pr 2.651 2.651 5.889
Dy 2.651 2.651 0.000
Sb 0.000 0.000 5.889
Sb 0.000 2.651 0.000
Sb 2.651 0.000 0.000
Sb 2.651 2.651 2.923
Sb 2.651 2.651 8.855

---

7.
10
Lattice="4.069 0.000 0.000 0.000 4.069 0.000 0.000 0.000 11.423" Properties=species:S:1:pos:R:3 comment="PBE Sm2Ga3Pt4Rh, relaxed" e_tot_ev_per_atom=-5.88 spacegroup=P-4m2 e_form_ev_per_atom=-0.881 pbc="T T T"
Sm 0.000 2.035 2.785
Sm 2.035 0.000 8.637
Ga 0.000 0.000 0.000
Ga 0.000 2.035 7.218
Ga 2.035 0.000 4.205
Pt 0.000 0.000 5.711
Pt 0.000 2.035 9.679
Pt 2.035 0.000 1.744
Pt 2.035 2.035 5.711
Rh 2.035 2.035 0.000

---

8.
4
Lattice="3.615 0.000 0.000 0.000 3.615 0.000 0.000 0.000 7.646" Properties=species:S:1:pos:R:3 comment="PBE BaTa2Au, relaxed" e_above_lowest_polymorph_ev_per_atom=0.412 e_tot_ev_per_atom=-6.51 spacegroup=P4/mmm e_form_ev_per_atom=0.713 pbc="T T T"
Ba 0.000 0.000 0.000
Ta 1.808 1.808 2.592
Ta 1.808 1.808 5.055
Au 0.000 0.000 3.823